# 1
The following is a PBE calculation of Pr2ThHg6 after structural relaxation, from Alexandria via LeMat-Bulk.

## Properties
As for the formation energy: -0.380 eV/atom. The total DFT energy (no corrections) is -0.09070 hartree per atom. Its crystal system is hexagonal.

Lattice parameters (Å, degrees): 8.8173 8.8173 3.4463 90.00 90.00 120.00
Space group P6/mmm (No. 191)
Asymmetric unit:
Pr: 0.3333 0.6667 0.0000 (multiplicity 2)
Th: 0.0000 0.0000 0.0000 (multiplicity 1)
Hg: 0.0000 0.3337 0.5000 (multiplicity 6)

---

# 2
The following is a PBE calculation of Pr4TlO after structural relaxation, from Alexandria via LeMat-Bulk.

## Properties
The calculation puts the energy relative to the elements, uncorrected at -0.9931 eV per atom. The total DFT energy (no corrections) is -0.19845 hartree per atom. Its crystal system is triclinic.

Lattice parameters (Å, degrees): 5.896 7.418 8.628 74.02 70.02 89.97
Space group P-1 (No. 2)
Asymmetric unit:
Pr: 0.095 0.423 0.287 (multiplicity 2)
Pr: 0.118 0.923 0.288 (multiplicity 2)
Pr: 0.294 0.798 0.886 (multiplicity 2)
Pr: 0.320 0.298 0.886 (multiplicity 2)
Tl: 0.484 0.251 0.500 (multiplicity 2)
O: 0.000 0.500 0.000 (multiplicity 1)
O: 0.500 0.000 0.000 (multiplicity 1)

---

# 3
The following is a PBE calculation of YCrSn after structural relaxation, from Alexandria via LeMat-Bulk.

## Properties
As for the formation energy: -0.152 eV/atom. The total DFT energy (no corrections) is -0.25167 hartree per atom. Its crystal system is trigonal.

Lattice parameters (Å, degrees): 4.8151 4.8151 20.8244 90.00 90.00 120.00
Space group R3m (No. 160, hexagonal axes)
Asymmetric unit:
Y: 0.0000 0.0000 0.0000 (multiplicity 3)
Y: 0.0000 0.0000 0.1707 (multiplicity 3)
Cr: 0.0000 0.0000 0.7450 (multiplicity 3)
Cr: 0.0000 0.0000 0.8601 (multiplicity 3)
Sn: 0.0000 0.0000 0.4196 (multiplicity 3)
Sn: 0.0000 0.0000 0.5896 (multiplicity 3)